No. 1
## FeCuIr2 (GGA-PBE)

Data for a relaxed FeCuIr2 crystal.

The structure in POSCAR format:
```
FeCuIr2
1.0
-4.486 0.457 0.525
-4.060 -0.537 -1.959
-1.106 -4.290 1.527
Ir Cu Fe
2 1 1
Direct
0.995 0.995 0.001
0.505 0.505 0.499
0.750 0.750 0.750
0.250 0.250 0.250
```

Calculated values
As for the energy above the most stable polymorph in this dataset: 0.000 eV per atom. Its formation energy from the elements is 9 meV per atom. As for the space group: C2/m. The total energy comes out at -7.5615 eV/atom.

---

No. 2
## FeCuIr2 (GGA-PBE)

Data for a relaxed FeCuIr2 crystal.

The structure in POSCAR format:
```
FeCuIr2
1.0
0.000 2.986 2.986
2.986 0.000 2.986
2.986 2.986 0.000
Cu Ir Fe
1 2 1
Direct
0.500 0.500 0.500
0.750 0.750 0.750
0.250 0.250 0.250
0.000 0.000 0.000
```

Calculated values
As for the energy above the most stable polymorph in this dataset: 0.086 eV per atom. Its formation energy from the elements is 95 meV per atom. As for the space group: Fm-3m. The total energy comes out at -7.4756 eV/atom.

---

Look up the formation energy from the elements of the second one. 95 meV per atom